No. 1
First-principles (PBE) data for crystalline KInIBr at its relaxed geometry, as listed in Alexandria.

Cell lengths 4.8972, 4.8960, 6.8758 Å; angles 90.00, 90.09, 90.00 degrees
Space group Pm (No. 6)
Symmetry-distinct sites (fractional):
K (0.0000, 0.0000, 0.0000)
In (0.4992, 0.5000, 0.5011)
I (0.5001, 0.5000, 0.0013)
Br (0.9997, 0.0000, 0.5004)

Output
* mass density: 3.63 g/cm3
* energy above the most stable polymorph in this dataset: 0 meV per atom

No. 2
First-principles (PBE) data for crystalline KInIBr at its relaxed geometry, as listed in Alexandria.

Cell lengths 8.3115, 8.3115, 8.3115 Å; angles 90.00, 90.00, 90.00 degrees
Space group F-43m (No. 216)
Symmetry-distinct sites (fractional):
K (0.0000, 0.0000, 0.0000)
In (0.0000, 0.0000, 0.5000)
I (0.2500, 0.2500, 0.2500)
Br (0.2500, 0.2500, 0.7500)

Output
* mass density: 4.17 g/cm3
* energy above the most stable polymorph in this dataset: 52 meV per atom

- mass density of number 2 (KInIBr)?
  4.17 g/cm3

- Which of these has the lowest mass density?
  number 1